(1)
A plane-wave DFT calculation with GGA-PBE was carried out for a relaxed structure of HfSc2Ir2.

Cell lengths 6.9711, 6.9711, 3.9963 Å; angles 90.00, 90.00, 90.00 degrees
Closest atoms and distances in Å follow each position.
Fractional coordinates of all 10 atoms:
Sc (0.1690, 0.6690, 0.5000)  6 Ir 2.75-2.94
Sc (0.6690, 0.8310, 0.5000)  6 Ir 2.75-2.94
Sc (0.8310, 0.3310, 0.5000)  6 Ir 2.75-2.94
Sc (0.3310, 0.1690, 0.5000)  6 Ir 2.75-2.94
Ir (0.3607, 0.8607, 0.0000)  2 Hf 2.70, 1 Ir 2.75, 6 Sc 2.75-2.94
Ir (0.8607, 0.6393, 0.0000)  2 Hf 2.70, 1 Ir 2.75, 6 Sc 2.75-2.94
Ir (0.6393, 0.1393, 0.0000)  2 Hf 2.70, 1 Ir 2.75, 6 Sc 2.75-2.94
Ir (0.1393, 0.3607, 0.0000)  2 Hf 2.70, 1 Ir 2.75, 6 Sc 2.75-2.94
Hf (0.0000, 0.0000, 0.0000)  4 Ir 2.70
Hf (0.5000, 0.5000, 0.0000)  4 Ir 2.70

Calculated values
As for the electronic total energy: -8.84 eV per atom. The density of states at the Fermi level is 7.46 states/eV/cell. Its formation energy is -773 meV per atom. The value obtained for the size of the total moment is 0.0 μB/cell.

***

(2)
A plane-wave DFT calculation with GGA-PBE was carried out for a relaxed structure of Tb4PmPrHo2.

Cell lengths 7.1907, 13.6406, 13.6400 Å; angles 149.42, 121.84, 74.71 degrees
Closest atoms and distances in Å follow each position.
Fractional coordinates of all 16 atoms:
Tb (0.4184, 0.8332, 0.0857)  4 Ho 3.54-3.59, 1 Pr 3.58, 1 Pm 3.59, 6 Tb 3.59-3.60
Tb (0.9187, 0.3336, 0.5858)  2 Pm 3.54-3.59, 3 Ho 3.54-3.59, 1 Pr 3.58, 6 Tb 3.59-3.60
Tb (0.0813, 0.6664, 0.4142)  2 Pm 3.54-3.59, 3 Ho 3.54-3.59, 1 Pr 3.58, 6 Tb 3.59-3.60
Tb (0.5816, 0.1668, 0.9143)  4 Ho 3.54-3.59, 1 Pr 3.58, 1 Pm 3.59, 6 Tb 3.59-3.60
Tb (0.9187, 0.8334, 0.0857)  3 Ho 3.54-3.58, 1 Pm 3.54, 2 Pr 3.59, 6 Tb 3.59-3.60
Tb (0.5814, 0.6666, 0.4142)  2 Ho 3.54, 2 Pm 3.54-3.58, 2 Pr 3.59, 6 Tb 3.59-3.60
Tb (0.4186, 0.3334, 0.5858)  2 Ho 3.54, 2 Pm 3.54-3.58, 2 Pr 3.59, 6 Tb 3.59-3.60
Tb (0.0813, 0.1666, 0.9143)  3 Ho 3.54-3.58, 1 Pm 3.54, 2 Pr 3.59, 6 Tb 3.59-3.60
Pm (0.0000, 0.5000, 0.0000)  6 Tb 3.54, 6 Ho 3.60
Pm (0.0000, 0.5000, 0.5000)  6 Tb 3.58-3.59, 4 Pr 3.60, 2 Ho 3.60
Pr (0.5000, 0.5000, 0.5000)  6 Tb 3.58-3.59, 2 Pm 3.60, 2 Pr 3.60, 2 Ho 3.60
Pr (0.0000, 0.0000, 0.0000)  6 Tb 3.58-3.59, 2 Ho 3.60, 2 Pr 3.60, 2 Pm 3.60
Ho (0.5000, 0.0000, 0.0000)  6 Tb 3.58-3.59, 4 Pr 3.60, 2 Pm 3.60
Ho (0.5000, 0.0000, 0.5000)  6 Tb 3.54, 4 Ho 3.60, 2 Pm 3.60
Ho (0.0000, 0.0000, 0.5000)  6 Tb 3.54, 4 Ho 3.60, 2 Pm 3.60
Ho (0.5000, 0.5000, 0.0000)  6 Tb 3.54, 2 Pm 3.60, 4 Ho 3.60

Calculated values
As for the electronic total energy: -4.65 eV per atom. The density of states at the Fermi level is 22.92 states/eV/cell. Its formation energy is 4 meV per atom. The value obtained for the size of the total moment is 0.0 μB/cell.